A geometry-optimized NaNbMoO6 structure, computed with PBE+U.

Unit cell a=4.9084 b=4.9084 c=9.4340 alpha=90.00 beta=90.00 gamma=90.00
Closest atoms and distances in Å follow each position.
Element x y z (fractional)
1 Na 0.5000 0.5000 0.4993  6 O 2.26-2.42
2 Na 0.0000 0.0000 0.9993  6 O 2.26-2.42
3 Nb 0.5000 0.5000 0.8329  6 O 1.99-2.04
4 Nb 0.0000 0.0000 0.3329  6 O 1.99-2.04
5 Mo 0.5000 0.5000 0.1670  6 O 1.92-1.97
6 Mo 0.0000 0.0000 0.6670  6 O 1.92-1.97
7 O 0.1751 0.8249 0.5048  1 Mo 1.95, 1 Nb 2.03
8 O 0.8249 0.1751 0.5048  1 Mo 1.95, 1 Nb 2.03
9 O 0.3249 0.3249 0.0048  1 Mo 1.95, 1 Nb 2.03
10 O 0.6751 0.6751 0.0048  1 Mo 1.95, 1 Nb 2.03
11 O 0.2257 0.7743 0.1945  1 Mo 1.92, 1 Nb 2.04
12 O 0.7743 0.2257 0.1945  1 Mo 1.92, 1 Nb 2.04
13 O 0.2743 0.2743 0.6945  1 Mo 1.92, 1 Nb 2.04
14 O 0.7257 0.7257 0.6945  1 Mo 1.92, 1 Nb 2.04
15 O 0.7832 0.2168 0.8011  1 Mo 1.97, 1 Nb 1.99
16 O 0.2168 0.7832 0.8011  1 Mo 1.97, 1 Nb 1.99
17 O 0.7168 0.7168 0.3011  1 Mo 1.97, 1 Nb 1.99
18 O 0.2832 0.2832 0.3011  1 Mo 1.97, 1 Nb 1.99

Values from the calculation:
ρ ... 4.5 Mg/m³
VASP energy ... -132.055 eV for the cell shown